Below is crystalline ZrBPdAu at its relaxed geometry, with properties calculated at the PBE level.

Offset from the most stable computed form (eV per atom): 0.189
Density (g/cm3): 10.58
Final energy (eV per atom): -5.69
V (Å³/cell): 254

abc: 6.337 6.337 6.337
angles: 90.00 90.00 90.00
Space group F-43m (No. 216)
Unique sites:
Zr1 0.000 0.000 0.000
B1 0.000 0.000 0.500
Pd1 0.250 0.250 0.750
Au1 0.250 0.250 0.250